Record 1
Here is a relaxed AlWSe2 crystal from Alexandria. Energies are from GGA-PBE.

abc: 8.229 8.229 8.229
angles: 23.73 23.73 23.73
Fractional positions:
Al1 0.000 0.000 0.000
W1 0.500 0.500 0.500
Se1 0.397 0.397 0.397
Se2 0.603 0.603 0.603

Calculated values
final energy: -5.617 eV per atom

Record 2
Here is a relaxed AlWSe3 crystal from Alexandria. Energies are from GGA-PBE.

abc: 4.979 4.979 4.979
angles: 90.00 90.00 90.00
Fractional positions:
Al1 0.000 0.000 0.000
W1 0.500 0.500 0.500
Se1 0.000 0.500 0.500
Se2 0.500 0.000 0.500
Se3 0.500 0.500 0.000

Calculated values
distance to the lowest polymorph of the same formula: 0 meV per atom